Mg2Sc3 | PBE | relaxed

Calculated values
total DFT energy (no corrections)	-20.77	eV per cell
energy relative to the elements	282	meV per atom
calculated volume	130	Å³ per cell

Unit cell a=4.9541 b=4.9541 c=6.1235 alpha=90.00 beta=90.00 gamma=120.00
Space group P-3m1 (No. 164)
Unique sites:
Mg  0.3333  0.6667  0.3571 x2
Sc  0.0000  0.0000  0.5000 x1
Sc  0.3333  0.6667  0.8533 x2

---

Mg2Sc3 | PBE | relaxed

Calculated values
total DFT energy (no corrections)	-44.54	eV per cell
energy relative to the elements	-17	meV per atom
calculated volume	236	Å³ per cell

Unit cell a=3.341 b=3.341 c=21.147 alpha=90.00 beta=90.00 gamma=90.00
Space group P4/mmm (No. 123)
Unique sites:
Mg  0.000  0.000  0.097 x2
Mg  0.000  0.000  0.294 x2
Sc  0.000  0.000  0.500 x1
Sc  0.500  0.500  0.000 x1
Sc  0.500  0.500  0.195 x2
Sc  0.500  0.500  0.396 x2

---

Mg13Sc3 | PBE | relaxed

Calculated values
total DFT energy (no corrections)	-79.58	eV per cell
energy relative to the elements	-4	meV per atom
calculated volume	741	Å³ per cell

Unit cell a=8.899 b=8.753 c=9.515 alpha=90.00 beta=90.00 gamma=90.00
Space group Amm2 (No. 38)
Unique sites:
Mg  0.000  0.000  0.000 x2
Mg  0.000  0.000  0.484 x2
Mg  0.000  0.250  0.242 x4
Mg  0.245  0.000  0.744 x4
Mg  0.246  0.249  0.993 x8
Mg  0.500  0.000  0.484 x2
Mg  0.500  0.246  0.734 x4
Sc  0.258  0.000  0.240 x4
Sc  0.500  0.000  0.988 x2

---

Mg7Sc | PBE | relaxed

Calculated values
total DFT energy (no corrections)	-35.41	eV per cell
energy relative to the elements	-26	meV per atom
calculated volume	367	Å³ per cell

Unit cell a=4.478 b=4.478 c=18.324 alpha=90.00 beta=90.00 gamma=90.00
Space group I4/mmm (No. 139)
Unique sites:
Mg  0.000  0.000  0.000 x2
Mg  0.000  0.000  0.254 x4
Mg  0.000  0.500  0.125 x8
Sc  0.000  0.000  0.500 x2

---

Mg3Sc5 | PBE | relaxed

Calculated values
total DFT energy (no corrections)	-72.66	eV per cell
energy relative to the elements	14	meV per atom
calculated volume	380	Å³ per cell

Unit cell a=8.096 b=9.687 c=4.840 alpha=90.00 beta=90.00 gamma=90.00
Space group Cmmm (No. 65)
Unique sites:
Mg  0.000  0.000  0.000 x2
Mg  0.000  0.260  0.500 x4
Sc  0.000  0.500  0.000 x2
Sc  0.240  0.000  0.500 x4
Sc  0.250  0.250  0.000 x4

---

Mg3Sc2 | PBE | relaxed

Calculated values
total DFT energy (no corrections)	-137.27	eV per cell
energy relative to the elements	58	meV per atom
calculated volume	945	Å³ per cell

Unit cell a=10.653 b=15.178 c=5.845 alpha=90.00 beta=90.00 gamma=90.00
Space group Fdd2 (No. 43)
Unique sites:
Mg  0.000  0.000  0.000 x8
Mg  0.044  0.101  0.448 x16
Sc  0.032  0.200  0.922 x16

---

Mg12Sc17 | PBE | relaxed

Calculated values
total DFT energy (no corrections)	-251.34	eV per cell
energy relative to the elements	38	meV per atom
calculated volume	1379	Å³ per cell

Unit cell a=11.130 b=11.130 c=11.130 alpha=90.00 beta=90.00 gamma=90.00
Space group I-43m (No. 217)
Unique sites:
Mg  0.091  0.091  0.278 x24
Sc  0.000  0.000  0.000 x2
Sc  0.042  0.358  0.358 x24
Sc  0.178  0.178  0.822 x8

---

Mg4Sc | PBE | relaxed

Calculated values
total DFT energy (no corrections)	-37.75	eV per cell
energy relative to the elements	25	meV per atom
calculated volume	351	Å³ per cell

Unit cell a=3.1975 b=3.1975 c=39.6231 alpha=90.00 beta=90.00 gamma=120.00
Space group R-3m (No. 166, hexagonal axes)
Unique sites:
Mg  0.0000  0.0000  0.1003 x6
Mg  0.0000  0.0000  0.2998 x6
Sc  0.0000  0.0000  0.5000 x3

---

Mg2Sc13 | PBE | relaxed

Calculated values
total DFT energy (no corrections)	-84.81	eV per cell
energy relative to the elements	46	meV per atom
calculated volume	363	Å³ per cell

Unit cell a=6.230 b=7.899 c=8.237 alpha=66.38 beta=78.46 gamma=82.20
Space group P-1 (No. 2)
Unique sites:
Mg  0.064  0.250  0.384 x2
Sc  0.000  0.500  0.000 x1
Sc  0.121  0.982  0.756 x2
Sc  0.197  0.725  0.154 x2
Sc  0.252  0.445  0.575 x2
Sc  0.314  0.165  0.972 x2
Sc  0.383  0.906  0.386 x2
Sc  0.477  0.639  0.796 x2

---

Mg3Sc2 | PBE | relaxed

Calculated values
total DFT energy (no corrections)	-138.09	eV per cell
energy relative to the elements	37	meV per atom
calculated volume	943	Å³ per cell

Unit cell a=10.702 b=28.358 c=3.108 alpha=90.00 beta=90.00 gamma=90.00
Space group Fdd2 (No. 43)
Unique sites:
Mg  0.000  0.000  0.000 x8
Mg  0.020  0.100  0.420 x16
Sc  0.012  0.201  0.842 x16

---

MgSc4 | PBE | relaxed

Calculated values
total DFT energy (no corrections)	-46.46	eV per cell
energy relative to the elements	738	meV per atom
calculated volume	289	Å³ per cell

Unit cell a=6.612 b=6.612 c=6.612 alpha=90.00 beta=90.00 gamma=90.00
Space group Im-3m (No. 229)
Unique sites:
Mg  0.000  0.000  0.000 x2
Sc  0.250  0.250  0.250 x8

---

Mg24Sc5 | PBE | relaxed

Calculated values
total DFT energy (no corrections)	-140.36	eV per cell
energy relative to the elements	-9	meV per atom
calculated volume	1338	Å³ per cell

Unit cell a=11.020 b=11.020 c=11.020 alpha=90.00 beta=90.00 gamma=90.00
Space group I-43m (No. 217)
Unique sites:
Mg  0.038  0.356  0.356 x24
Mg  0.090  0.090  0.280 x24
Sc  0.000  0.000  0.000 x2
Sc  0.185  0.185  0.815 x8

---

Mg6Sc | PBE | relaxed

Calculated values
total DFT energy (no corrections)	-29.73	eV per cell
energy relative to the elements	147	meV per atom
calculated volume	338	Å³ per cell

Unit cell a=5.944 b=5.944 c=9.572 alpha=90.00 beta=90.00 gamma=90.00
Space group P4/nbm (No. 125, origin choice 2)
Unique sites:
Mg  0.077  0.577  0.141 x8
Mg  0.250  0.250  0.356 x4
Sc  0.250  0.750  0.500 x2

---

Mg5Sc2 | PBE | relaxed

Calculated values
total DFT energy (no corrections)	-80.88	eV per cell
energy relative to the elements	59	meV per atom
calculated volume	666	Å³ per cell

Unit cell a=8.100 b=13.513 c=6.084 alpha=90.00 beta=90.00 gamma=90.00
Space group Ibam (No. 72)
Unique sites:
Mg  0.000  0.000  0.250 x4
Mg  0.000  0.226  0.250 x8
Mg  0.227  0.362  0.000 x8
Sc  0.150  0.417  0.500 x8

---

Mg4Sc | PBE | relaxed

Calculated values
total DFT energy (no corrections)	-8.21	eV per cell
energy relative to the elements	900	meV per atom
calculated volume	174	Å³ per cell

Unit cell a=5.586 b=5.586 c=5.586 alpha=90.00 beta=90.00 gamma=90.00
Space group Pm-3m (No. 221)
Unique sites:
Mg  0.000  0.000  0.000 x1
Mg  0.000  0.500  0.500 x3
Sc  0.500  0.500  0.500 x1

---

Mg4Sc | PBE | relaxed

Calculated values
total DFT energy (no corrections)	-25.21	eV per cell
energy relative to the elements	21	meV per atom
calculated volume	231	Å³ per cell

Unit cell a=6.948 b=6.948 c=4.787 alpha=90.00 beta=90.00 gamma=90.00
Space group I4/m (No. 87)
Unique sites:
Mg  0.089  0.298  0.000 x8
Sc  0.000  0.000  0.500 x2

---

Mg7Sc | PBE | relaxed

Calculated values
total DFT energy (no corrections)	-69.63	eV per cell
energy relative to the elements	11	meV per atom
calculated volume	747	Å³ per cell

Unit cell a=9.073 b=9.073 c=9.073 alpha=90.00 beta=90.00 gamma=90.00
Space group Fm-3m (No. 225)
Unique sites:
Mg  0.000  0.000  0.000 x4
Mg  0.000  0.250  0.250 x24
Sc  0.000  0.000  0.500 x4

---

Mg3Sc4 | PBE | relaxed

Calculated values
total DFT energy (no corrections)	-60.73	eV per cell
energy relative to the elements	-36	meV per atom
calculated volume	333	Å³ per cell

Unit cell a=3.243 b=3.243 c=31.695 alpha=90.00 beta=90.00 gamma=90.00
Space group I4/mmm (No. 139)
Unique sites:
Mg  0.000  0.000  0.000 x2
Mg  0.000  0.000  0.285 x4
Sc  0.000  0.000  0.143 x4
Sc  0.000  0.000  0.428 x4

---

Mg3Sc5 | PBE | relaxed

Calculated values
total DFT energy (no corrections)	-71.06	eV per cell
energy relative to the elements	114	meV per atom
calculated volume	387	Å³ per cell

Unit cell a=8.9376 b=8.9376 c=5.5974 alpha=90.00 beta=90.00 gamma=120.00
Space group P6_3/mcm (No. 193)
Unique sites:
Mg  0.0000  0.4051  0.2500 x6
Sc  0.0000  0.2219  0.7500 x6
Sc  0.3333  0.6667  0.0000 x4

---

Mg2Sc5 | PBE | relaxed

Calculated values
total DFT energy (no corrections)	-69.21	eV per cell
energy relative to the elements	35	meV per atom
calculated volume	339	Å³ per cell

Unit cell a=3.688 b=3.688 c=24.884 alpha=90.00 beta=90.00 gamma=90.00
Space group I4/mmm (No. 139)
Unique sites:
Mg  0.000  0.000  0.216 x4
Sc  0.000  0.000  0.069 x4
Sc  0.000  0.000  0.357 x4
Sc  0.000  0.000  0.500 x2